## Pm2CuAu (PBE)

Data for an optimized crystal structure of Pm2CuAu.

Results
- M_tot (μB/atom) = 0.00
- density of states at the Fermi level (states/eV per cell) = 1.356
- total energy (eV per atom) = -4.679
- DFT formation energy (eV/atom) = -0.4607

a b c (Å): 5.150 5.150 5.150
angles (deg): 60.00 60.00 60.00
Element x y z (fractional)
Pm (0.250, 0.250, 0.250)
Pm (0.750, 0.750, 0.750)
Cu (0.000, 0.000, 0.000)
Au (0.500, 0.500, 0.500)